{
  "formula": "Nd2AgCl",
  "functional": "PBE-GGA",
  "state": "relaxed",
  "cell": [[4.359, 0.000, 0.000], [2.179, 3.775, 0.000], [2.179, 1.258, 6.585]],
  "species": ["Nd", "Cl", "Ag", "Nd"],
  "frac_coords": [[0.255, 0.255, 0.236], [0.000, 0.000, 0.000], [0.500, 0.500, 0.500], [0.745, 0.745, 0.764]],
  "formation_energy_uncorrected_ev_per_atom": -0.771,
  "e_tot_ev_per_atom": -4.329,
  "e_above_lowest_polymorph_ev_per_fu": 0.000,
  "space_group": "No. 166"
}

{
  "formula": "NdAg2Cl6",
  "functional": "PBE-GGA",
  "state": "relaxed",
  "cell": [[-1.881, 4.611, -5.038], [-5.655, -5.120, -5.569], [-7.574, 4.243, 3.718]],
  "species": ["Cl", "Ag", "Cl", "Cl", "Cl", "Cl", "Nd", "Cl", "Ag", "Cl", "Nd", "Cl", "Cl", "Cl", "Ag", "Cl", "Ag", "Cl"],
  "frac_coords": [[0.994, 0.549, 0.687], [0.147, 0.293, 0.484], [0.644, 0.943, 0.822], [0.856, 0.178, 0.057], [0.494, 0.687, 0.549], [0.170, 0.088, 0.641], [0.250, 0.090, 0.910], [0.670, 0.641, 0.088], [0.853, 0.707, 0.516], [0.144, 0.822, 0.943], [0.750, 0.910, 0.090], [0.356, 0.057, 0.178], [0.830, 0.912, 0.359], [0.330, 0.359, 0.912], [0.353, 0.516, 0.707], [0.506, 0.313, 0.451], [0.647, 0.484, 0.293], [0.006, 0.451, 0.313]],
  "formation_energy_uncorrected_ev_per_atom": -1.171,
  "e_tot_ev_per_atom": -3.565,
  "e_above_lowest_polymorph_ev_per_fu": 0.000,
  "space_group": "No. 15"
}

{
  "formula": "Nd3Ag5Cl12",
  "functional": "PBE-GGA",
  "state": "relaxed",
  "cell": [[14.021, 0.000, 0.000], [-4.674, 13.219, 0.000], [-4.674, -6.609, 11.448]],
  "species": ["Cl", "Cl", "Nd", "Cl", "Cl", "Cl", "Ag", "Nd", "Nd", "Cl", "Cl", "Cl", "Cl", "Cl", "Cl", "Cl", "Ag", "Cl", "Cl", "Cl", "Ag", "Ag", "Cl", "Cl", "Cl", "Cl", "Cl", "Cl", "Nd", "Cl", "Cl", "Cl", "Cl", "Nd", "Ag", "Ag", "Cl", "Ag", "Cl", "Nd", "Cl", "Cl", "Ag", "Nd", "Cl", "Nd", "Cl", "Nd", "Ag", "Cl", "Cl", "Cl", "Cl", "Ag", "Nd", "Ag", "Cl", "Cl", "Ag", "Ag", "Cl", "Cl", "Ag", "Cl", "Cl", "Nd", "Cl", "Nd", "Cl", "Cl", "Cl", "Ag", "Ag", "Cl", "Cl", "Ag", "Ag", "Cl", "Ag", "Ag"],
  "frac_coords": [[0.325, 0.550, 0.416], [0.584, 0.950, 0.675], [0.375, 0.625, 0.250], [0.909, 0.084, 0.633], [0.776, 0.325, 0.909], [0.409, 0.133, 0.584], [0.875, 0.625, 0.750], [0.250, 0.625, 0.875], [0.875, 0.125, 0.250], [0.950, 0.584, 0.175], [0.325, 0.776, 0.409], [0.916, 0.091, 0.867], [0.276, 0.867, 0.950], [0.133, 0.409, 0.084], [0.867, 0.276, 0.450], [0.909, 0.825, 0.776], [0.125, 0.750, 0.375], [0.367, 0.950, 0.776], [0.591, 0.867, 0.416], [0.091, 0.175, 0.224], [0.625, 0.750, 0.875], [0.375, 0.125, 0.750], [0.050, 0.416, 0.825], [0.450, 0.675, 0.084], [0.367, 0.416, 0.091], [0.724, 0.591, 0.175], [0.675, 0.450, 0.584], [0.175, 0.091, 0.724], [0.125, 0.250, 0.875], [0.825, 0.909, 0.276], [0.133, 0.724, 0.550], [0.450, 0.776, 0.867], [0.276, 0.409, 0.825], [0.625, 0.250, 0.375], [0.000, 0.500, 0.000], [0.000, 0.500, 0.500], [0.224, 0.675, 0.091], [0.750, 0.625, 0.375], [0.825, 0.916, 0.050], [0.750, 0.375, 0.125], [0.416, 0.367, 0.591], [0.550, 0.224, 0.133], [0.500, 0.500, 0.000], [0.625, 0.375, 0.750], [0.675, 0.224, 0.591], [0.125, 0.875, 0.750], [0.916, 0.825, 0.550], [0.750, 0.875, 0.625], [0.375, 0.250, 0.125], [0.550, 0.325, 0.916], [0.091, 0.916, 0.367], [0.084, 0.175, 0.450], [0.584, 0.633, 0.409], [0.500, 0.500, 0.500], [0.250, 0.125, 0.375], [0.500, 0.000, 0.500], [0.175, 0.084, 0.950], [0.084, 0.909, 0.133], [0.250, 0.375, 0.625], [0.625, 0.875, 0.250], [0.409, 0.276, 0.325], [0.050, 0.633, 0.724], [0.000, 0.000, 0.500], [0.950, 0.367, 0.276], [0.867, 0.591, 0.916], [0.875, 0.750, 0.125], [0.724, 0.133, 0.050], [0.375, 0.750, 0.625], [0.633, 0.584, 0.909], [0.776, 0.450, 0.367], [0.591, 0.724, 0.675], [0.750, 0.125, 0.875], [0.250, 0.875, 0.125], [0.633, 0.050, 0.224], [0.416, 0.050, 0.325], [0.125, 0.375, 0.250], [0.875, 0.250, 0.625], [0.224, 0.550, 0.633], [0.000, 0.000, 0.000], [0.500, 0.000, 0.000]],
  "formation_energy_uncorrected_ev_per_atom": -1.175,
  "e_tot_ev_per_atom": -3.711,
  "space_group": "No. 230"
}

{
  "formula": "NdAg3Cl6",
  "functional": "PBE-GGA",
  "state": "relaxed",
  "cell": [[-3.262, -1.811, -5.749], [3.248, -7.000, 0.362], [-8.235, -3.519, 5.844]],
  "species": ["Ag", "Cl", "Cl", "Ag", "Cl", "Cl", "Cl", "Cl", "Nd", "Cl", "Cl", "Ag", "Ag", "Ag", "Cl", "Cl", "Cl", "Ag", "Nd", "Cl"],
  "frac_coords": [[0.520, 0.998, 0.849], [0.746, 0.746, 0.918], [0.256, 0.748, 0.082], [0.500, 0.500, 0.000], [0.254, 0.254, 0.082], [0.244, 0.248, 0.418], [0.744, 0.252, 0.918], [0.246, 0.754, 0.418], [0.000, 0.000, 0.000], [0.756, 0.752, 0.582], [0.321, 0.501, 0.731], [0.020, 0.502, 0.349], [0.480, 0.002, 0.151], [0.980, 0.498, 0.651], [0.754, 0.246, 0.582], [0.821, 0.999, 0.231], [0.679, 0.499, 0.269], [0.000, 0.000, 0.500], [0.500, 0.500, 0.500], [0.179, 0.001, 0.769]],
  "formation_energy_uncorrected_ev_per_atom": -1.131,
  "e_tot_ev_per_atom": -3.572,
  "space_group": "No. 14"
}

{
  "formula": "Nd6AgOs2Cl3",
  "functional": "PBE-GGA",
  "state": "relaxed",
  "cell": [[-1.812, -5.316, -4.567], [2.770, -1.563, 6.503], [-7.340, 2.100, 2.326]],
  "species": ["Nd", "Ag", "Os", "Nd", "Nd", "Cl", "Os", "Nd", "Nd", "Nd", "Cl", "Cl"],
  "frac_coords": [[0.068, 0.430, 0.209], [0.000, 0.000, 0.000], [0.334, 0.666, 0.000], [0.296, 0.296, 0.792], [0.430, 0.068, 0.209], [0.500, 0.500, 0.500], [0.666, 0.334, 0.000], [0.932, 0.570, 0.791], [0.704, 0.704, 0.208], [0.570, 0.932, 0.791], [0.176, 0.824, 0.500], [0.824, 0.176, 0.500]],
  "formation_energy_uncorrected_ev_per_atom": -0.833,
  "e_tot_ev_per_atom": -5.788,
  "space_group": "No. 12"
}

{
  "formula": "PrNdAgCl",
  "functional": "PBE-GGA",
  "state": "relaxed",
  "cell": [[5.278, 0.000, 0.000], [2.639, 4.571, 0.000], [2.639, 1.524, 4.309]],
  "species": ["Pr", "Nd", "Cl", "Ag"],
  "frac_coords": [[0.250, 0.250, 0.250], [0.750, 0.750, 0.750], [0.500, 0.500, 0.500], [0.000, 0.000, 0.000]],
  "formation_energy_uncorrected_ev_per_atom": -0.582,
  "e_tot_ev_per_atom": -4.144,
  "space_group": "No. 216"
}

{
  "formula": "Rb3NdAg2Cl9",
  "functional": "PBE-GGA",
  "state": "relaxed",
  "cell": [[-0.333, 1.242, 7.426], [6.533, -1.964, -3.203], [2.032, 9.092, -1.430]],
  "species": ["Rb", "Cl", "Cl", "Rb", "Cl", "Rb", "Cl", "Cl", "Cl", "Cl", "Cl", "Nd", "Ag", "Cl", "Ag"],
  "frac_coords": [[0.000, 0.000, 0.000], [0.500, 0.000, 0.000], [0.168, 0.336, 0.329], [0.333, 0.667, 0.707], [0.832, 0.168, 0.671], [0.667, 0.333, 0.293], [0.500, 0.500, 0.000], [0.664, 0.832, 0.329], [0.168, 0.832, 0.329], [0.832, 0.664, 0.671], [0.000, 0.500, 0.000], [0.000, 0.000, 0.500], [0.667, 0.333, 0.847], [0.336, 0.168, 0.671], [0.333, 0.667, 0.153]],
  "formation_energy_uncorrected_ev_per_atom": -1.531,
  "e_tot_ev_per_atom": -3.531,
  "space_group": "No. 164"
}

{
  "formula": "RbNdAg2Cl8",
  "functional": "PBE-GGA",
  "state": "relaxed",
  "cell": [[-2.244, 4.483, 4.688], [-4.709, 2.286, -4.440], [-1.372, -8.458, 2.405]],
  "species": ["Cl", "Cl", "Cl", "Cl", "Cl", "Cl", "Cl", "Ag", "Rb", "Ag", "Cl", "Nd"],
  "frac_coords": [[0.151, 0.610, 0.882], [0.731, 0.273, 0.882], [0.629, 0.715, 0.684], [0.031, 0.371, 0.316], [0.390, 0.269, 0.118], [0.055, 0.969, 0.684], [0.727, 0.849, 0.118], [0.500, 0.500, 0.000], [0.750, 0.250, 0.500], [0.250, 0.750, 0.500], [0.285, 0.945, 0.316], [0.000, 0.000, 0.000]],
  "formation_energy_uncorrected_ev_per_atom": -1.174,
  "e_tot_ev_per_atom": -3.358,
  "space_group": "No. 82"
}

{
  "formula": "RbNdAgCl5",
  "functional": "PBE-GGA",
  "state": "relaxed",
  "cell": [[-0.249, 4.886, -6.077], [-7.191, -0.790, 2.921], [4.745, 5.723, 7.271]],
  "species": ["Cl", "Cl", "Rb", "Cl", "Cl", "Cl", "Rb", "Cl", "Cl", "Nd", "Ag", "Cl", "Ag", "Nd", "Cl", "Cl"],
  "frac_coords": [[0.923, 0.077, 0.750], [0.305, 0.911, 0.599], [0.655, 0.345, 0.750], [0.911, 0.305, 0.099], [0.695, 0.089, 0.401], [0.077, 0.923, 0.250], [0.345, 0.655, 0.250], [0.368, 0.253, 0.066], [0.089, 0.695, 0.901], [0.000, 0.000, 0.000], [0.686, 0.314, 0.250], [0.747, 0.632, 0.434], [0.314, 0.686, 0.750], [0.000, 0.000, 0.500], [0.253, 0.368, 0.566], [0.632, 0.747, 0.934]],
  "formation_energy_uncorrected_ev_per_atom": -1.753,
  "e_tot_ev_per_atom": -3.981,
  "space_group": "No. 15"
}

{
  "formula": "NdAgSnCl6",
  "functional": "PBE-GGA",
  "state": "relaxed",
  "cell": [[6.596, 0.000, 0.000], [0.000, 6.596, 0.000], [0.000, 0.000, 12.666]],
  "species": ["Cl", "Nd", "Cl", "Cl", "Cl", "Cl", "Cl", "Cl", "Sn", "Nd", "Ag", "Cl", "Sn", "Cl", "Cl", "Ag", "Cl", "Cl"],
  "frac_coords": [[0.703, 0.703, 0.329], [0.500, 0.500, 0.834], [0.203, 0.797, 0.829], [0.694, 0.694, 0.999], [0.303, 0.303, 0.672], [0.806, 0.194, 0.499], [0.306, 0.306, 0.999], [0.803, 0.197, 0.172], [0.000, 0.000, 0.000], [0.000, 0.000, 0.334], [0.500, 0.500, 0.166], [0.697, 0.697, 0.672], [0.500, 0.500, 0.500], [0.197, 0.803, 0.172], [0.297, 0.297, 0.329], [0.000, 0.000, 0.666], [0.194, 0.806, 0.499], [0.797, 0.203, 0.829]],
  "formation_energy_uncorrected_ev_per_atom": -1.423,
  "e_tot_ev_per_atom": -3.946,
  "space_group": "No. 102"
}

{
  "formula": "SrNdAgCl6",
  "functional": "PBE-GGA",
  "state": "relaxed",
  "cell": [[6.982, 0.000, 0.000], [-3.491, 6.047, 0.000], [0.000, 0.000, 13.061]],
  "species": ["Cl", "Cl", "Cl", "Sr", "Ag", "Cl", "Cl", "Nd", "Nd", "Cl", "Ag", "Cl", "Cl", "Cl", "Cl", "Cl", "Cl", "Sr"],
  "frac_coords": [[0.005, 0.659, 0.870], [0.341, 0.995, 0.630], [0.995, 0.341, 0.130], [0.000, 0.000, 0.500], [0.667, 0.333, 0.750], [0.341, 0.346, 0.870], [0.659, 0.005, 0.370], [0.333, 0.667, 0.750], [0.667, 0.333, 0.250], [0.654, 0.659, 0.630], [0.333, 0.667, 0.250], [0.995, 0.654, 0.370], [0.346, 0.341, 0.370], [0.654, 0.995, 0.870], [0.346, 0.005, 0.130], [0.659, 0.654, 0.130], [0.005, 0.346, 0.630], [0.000, 0.000, 0.000]],
  "formation_energy_uncorrected_ev_per_atom": -1.915,
  "e_tot_ev_per_atom": -4.179,
  "space_group": "No. 163"
}

{
  "formula": "NdTlAg2Cl6",
  "functional": "PBE-GGA",
  "state": "relaxed",
  "cell": [[-6.175, 2.131, 3.055], [-4.857, -4.893, 2.112], [-0.859, -1.180, 7.604]],
  "species": ["Cl", "Ag", "Cl", "Cl", "Cl", "Cl", "Nd", "Cl", "Tl", "Ag"],
  "frac_coords": [[0.732, 0.166, 0.754], [0.004, 0.005, 0.986], [0.166, 0.349, 0.754], [0.918, 0.593, 0.235], [0.593, 0.255, 0.234], [0.256, 0.917, 0.234], [0.322, 0.322, 0.034], [0.348, 0.732, 0.755], [0.804, 0.804, 0.587], [0.519, 0.519, 0.443]],
  "formation_energy_uncorrected_ev_per_atom": -1.276,
  "e_tot_ev_per_atom": -3.668,
  "space_group": "No. 146"
}

Calculated M_tot (μB per cell), listed in the same order as above: 0.0 0.0 7.4 0.0 0.0 0.0 0.0 0.0 0.0 0.0 0.0 0.0